# 1
The following is a DFT calculation (GGA-PBE) of an optimized crystal structure of Sc4FeSi7.

Properties
- mass density (kg/m3) = 3653
- magnetic moment (Bohr magnetons per cell) = 1.094
- DOS at the Fermi energy (states/eV/atom) = 0.422
- E_form (uncorrected) (eV per atom) = -0.449

a b c (Å): 3.6460 3.8434 14.0207
angles (deg): 90.00 90.00 90.00
Last column: nearest neighbours and their distance in Å.
Atoms (fractional coordinates):
Sc 0.0000 0.0000 0.1105  10 Si 2.76-3.02
Sc 0.0000 0.5000 0.5960  8 Si 2.75-2.85
Sc 0.5000 0.5000 0.4144  6 Si 2.63-2.79, 4 Fe 2.65
Sc 0.5000 0.0000 0.8990  10 Si 2.72-2.91
Fe 0.0000 0.0000 0.4064  6 Si 2.64-2.73, 4 Sc 2.65
Si 0.0000 0.5000 0.2683  4 Si 2.65, 2 Fe 2.73, 4 Sc 2.74-2.93
Si 0.0000 0.0000 0.7416  4 Si 2.65, 4 Sc 2.80-2.86
Si 0.5000 0.0000 0.2699  2 Fe 2.64, 4 Si 2.65, 4 Sc 2.79-2.88
Si 0.5000 0.5000 0.7523  4 Si 2.65, 4 Sc 2.81-2.85
Si 0.0000 0.5000 0.9441  2 Si 2.39
Si 0.5000 0.5000 0.0546  2 Si 2.39
Si 0.5000 0.0000 0.5429  6 Sc 2.63-2.75, 2 Fe 2.64

=====

# 2
The following is a DFT calculation (GGA-PBE) of an optimized crystal structure of KTePbI2.

Properties
- mass density (kg/m3) = 4387
- polymorph energy (0 for the lowest one) (eV per atom) = 0.640
- magnetic moment (Bohr magnetons per cell) = 1.028
- DOS at the Fermi energy (states/eV/atom) = 0.790
- E_form (uncorrected) (eV per atom) = 0.072

a b c (Å): 6.1551 6.1551 6.2718
angles (deg): 90.00 90.00 90.00
Last column: nearest neighbours and their distance in Å.
Atoms (fractional coordinates):
Pb 0.5000 0.5000 0.5000  4 Te 4.35, 8 I 4.39
I 0.0000 0.5000 0.0000  2 K 3.08
I 0.5000 0.0000 0.0000  2 K 3.08
K 0.0000 0.0000 0.0000  4 I 3.08, 2 Te 3.14
Te 0.0000 0.0000 0.5000  2 K 3.14

=====

# 3
The following is a DFT calculation (GGA-PBE) of an optimized crystal structure of HoErInCu.

Properties
- mass density (kg/m3) = 8904
- magnetic moment (Bohr magnetons per cell) = 0.000
- DOS at the Fermi energy (states/eV/atom) = 0.783
- energy relative to the elements (kJ per mole of atoms) = -30

a b c (Å): 5.1255 5.1255 5.1255
angles (deg): 60.00 60.00 60.00
Last column: nearest neighbours and their distance in Å.
Atoms (fractional coordinates):
In 0.7500 0.7500 0.7500  4 Ho 3.14, 4 Er 3.14
Ho 0.0000 0.0000 0.0000  4 In 3.14, 4 Cu 3.14
Cu 0.2500 0.2500 0.2500  4 Ho 3.14, 4 Er 3.14
Er 0.5000 0.5000 0.5000  4 Cu 3.14, 4 In 3.14

=====

# 4
The following is a DFT calculation (GGA-PBE) of an optimized crystal structure of BaAgP.

Properties
- mass density (kg/m3) = 5519
- magnetic moment (Bohr magnetons per cell) = 0.000
- energy relative to the elements (kJ per mole of atoms) = -67

a b c (Å): 6.9269 6.9269 6.9269
angles (deg): 90.00 90.00 90.00
Last column: nearest neighbours and their distance in Å.
Atoms (fractional coordinates):
Ba 0.1700 0.1700 0.1700  4 P 3.23-3.24, 3 Ag 3.56
Ba 0.6700 0.3300 0.8300  4 P 3.23-3.24, 3 Ag 3.56
Ba 0.3300 0.8300 0.6700  4 P 3.23-3.24, 3 Ag 3.56
Ba 0.8300 0.6700 0.3300  4 P 3.23-3.24, 3 Ag 3.56
Ag 0.3486 0.6514 0.1514  3 P 2.56
Ag 0.1514 0.3486 0.6514  3 P 2.56
Ag 0.6514 0.1514 0.3486  3 P 2.56
Ag 0.8486 0.8486 0.8486  3 P 2.56
P 0.4402 0.4402 0.4402  3 Ag 2.56
P 0.0598 0.5598 0.9402  3 Ag 2.56
P 0.9402 0.0598 0.5598  3 Ag 2.56
P 0.5598 0.9402 0.0598  3 Ag 2.56

=====

Raw total energy list, top to bottom, in eV/atom: -6.4280, -2.1372, -4.3088, -4.0869